# 1
Crystalline TlRh2Pb at its relaxed geometry, computed with PBE.

Results
DFT total energy in eV for the cell shown: -20.05
Total moment in μB/f.u.: 0.00
D(E_F) in states/eV per atom: 0.394
V in Å³ per atom: 21.19
ΔE_f in eV/f.u.: 0.7
Symmetry: R3m, No. 160

Unit cell a=4.103 b=4.103 c=6.277 alpha=70.92 beta=70.92 gamma=60.00
Atoms (fractional coordinates):
Pb (0.671, 0.671, 0.987)
Rh (0.078, 0.078, 0.767)
Rh (0.256, 0.256, 0.231)
Tl (0.495, 0.495, 0.515)

=====

# 2
Crystalline Tl2Rh3Pb2 at its relaxed geometry, computed with PBE.

Results
DFT total energy in eV for the cell shown: -33.90
Total moment in μB/f.u.: 0.00
D(E_F) in states/eV per atom: 0.514
V in Å³ per atom: 21.10
ΔE_f in eV/f.u.: 0.3
Symmetry: Immm, No. 71

Unit cell a=4.703 b=7.533 c=4.637 alpha=72.08 beta=90.05 gamma=108.17
Atoms (fractional coordinates):
Pb (0.376, 0.752, 0.124)
Pb (0.624, 0.248, 0.876)
Rh (0.243, 0.486, 0.757)
Rh (0.757, 0.514, 0.243)
Rh (0.000, 0.000, 0.000)
Tl (0.881, 0.761, 0.619)
Tl (0.119, 0.239, 0.381)

=====

# 3
Crystalline TlRhPb3 at its relaxed geometry, computed with PBE.

Results
DFT total energy in eV for the cell shown: -42.02
Total moment in μB/f.u.: 0.00
D(E_F) in states/eV per atom: 0.634
V in Å³ per atom: 27.45
ΔE_f in eV/f.u.: -0.2
Symmetry: C2/m, No. 12

Unit cell a=5.563 b=5.563 c=9.678 alpha=90.39 beta=90.39 gamma=66.39
Atoms (fractional coordinates):
Pb (0.257, 0.223, 0.279)
Pb (0.761, 0.727, 0.774)
Pb (0.435, 0.401, 0.609)
Pb (0.607, 0.572, 0.280)
Pb (0.111, 0.077, 0.776)
Pb (0.933, 0.899, 0.446)
Rh (0.433, 0.900, 0.527)
Rh (0.934, 0.399, 0.527)
Tl (0.438, 0.404, 0.957)
Tl (0.930, 0.896, 0.097)

=====

Q: Number 2 is which compound?
A: Tl2Rh3Pb2

=====

Q: Which value of ΔE_f does entry 1 give?
A: 0.7 eV/f.u.

=====

Q: Which of these has the lowest ΔE_f?
A: TlRhPb3

=====

Please write out number 2 again, unchanged.
Crystalline Tl2Rh3Pb2 at its relaxed geometry, computed with PBE.

Results
DFT total energy in eV for the cell shown: -33.90
Total moment in μB/f.u.: 0.00
D(E_F) in states/eV per atom: 0.514
V in Å³ per atom: 21.10
ΔE_f in eV/f.u.: 0.3
Symmetry: Immm, No. 71

Unit cell a=4.703 b=7.533 c=4.637 alpha=72.08 beta=90.05 gamma=108.17
Atoms (fractional coordinates):
Pb (0.376, 0.752, 0.124)
Pb (0.624, 0.248, 0.876)
Rh (0.243, 0.486, 0.757)
Rh (0.757, 0.514, 0.243)
Rh (0.000, 0.000, 0.000)
Tl (0.881, 0.761, 0.619)
Tl (0.119, 0.239, 0.381)